The following is a meta-GGA SCAN calculation of a crystal of Ca3CdO relaxed with PBEsol, from Alexandria via LeMat-Bulk.

Unit cell a=4.832 b=4.832 c=4.832 alpha=90.00 beta=90.00 gamma=90.00
Positions (direct):
Ca 0.000 0.000 0.500
Ca 0.000 0.500 0.000
Ca 0.500 0.000 0.000
Cd 0.500 0.500 0.500
O 0.000 0.000 0.000

Properties
Total DFT energy (no corrections) = -14.584 eV/atom
Uncorrected formation energy = -7.28 eV/f.u.
Symmetry = Pm-3m, No. 221